Record 1
A plane-wave DFT calculation with PBE was carried out for a geometry-optimized SnGe2 structure.

The structure in CIF format:
```
data_SnGe2
_symmetry_space_group_name_H-M 'P 1'
_symmetry_Int_Tables_number 1
_cell_length_a 5.734
_cell_length_b 5.734
_cell_length_c 5.734
_cell_angle_alpha 60.00
_cell_angle_beta 60.00
_cell_angle_gamma 60.00
loop_
_symmetry_equiv_pos_as_xyz
'x,y,z'
loop_
_atom_site_label
_atom_site_fract_x
_atom_site_fract_y
_atom_site_fract_z
_atom_site_occupancy
Sn1 0.125 0.125 0.125 1
Sn2 0.875 0.875 0.875 1
Ge1 0.000 0.500 0.500 1
Ge2 0.500 0.000 0.500 1
Ge3 0.500 0.500 0.000 1
Ge4 0.500 0.500 0.500 1
```

Properties
formation energy from the elements	254	meV per atom
V	22.21	Å³ per atom
raw total energy	-24.95	eV for the cell shown
energy relative to the lowest polymorph listed for this composition	0.0291	eV per atom
calculated density	6.58	g cm⁻³
M_tot	0.00	μB/f.u.

Record 2
A plane-wave DFT calculation with PBE was carried out for a geometry-optimized CrCuRe structure.

The structure in CIF format:
```
data_CrCuRe
_symmetry_space_group_name_H-M 'P 1'
_symmetry_Int_Tables_number 1
_cell_length_a 6.666
_cell_length_b 6.495
_cell_length_c 2.592
_cell_angle_alpha 82.39
_cell_angle_beta 74.94
_cell_angle_gamma 22.67
loop_
_symmetry_equiv_pos_as_xyz
'x,y,z'
loop_
_atom_site_label
_atom_site_fract_x
_atom_site_fract_y
_atom_site_fract_z
_atom_site_occupancy
Cr1 0.000 0.000 0.000 1
Cu1 0.663 0.663 0.337 1
Re1 0.340 0.340 0.660 1
```

Properties
formation energy from the elements	287	meV per atom
V	13.34	Å³ per atom
raw total energy	-25.31	eV for the cell shown
energy relative to the lowest polymorph listed for this composition	0.1054	eV per atom
calculated density	12.52	g cm⁻³
M_tot	0.00	μB/f.u.

Record 3
A plane-wave DFT calculation with PBE was carried out for a geometry-optimized Li3Pr3SnS8 structure.

The structure in CIF format:
```
data_Li3Pr3SnS8
_symmetry_space_group_name_H-M 'P 1'
_symmetry_Int_Tables_number 1
_cell_length_a 7.744
_cell_length_b 7.744
_cell_length_c 7.744
_cell_angle_alpha 63.13
_cell_angle_beta 63.13
_cell_angle_gamma 63.13
loop_
_symmetry_equiv_pos_as_xyz
'x,y,z'
loop_
_atom_site_label
_atom_site_fract_x
_atom_site_fract_y
_atom_site_fract_z
_atom_site_occupancy
Li1 0.000 0.500 0.500 1
Li2 0.500 0.000 0.500 1
Li3 0.500 0.500 0.000 1
Pr1 0.000 0.000 0.500 1
Pr2 0.000 0.500 0.000 1
Pr3 0.500 0.000 0.000 1
Sn1 0.500 0.500 0.500 1
S1 0.252 0.252 0.252 1
S2 0.266 0.266 0.721 1
S3 0.266 0.721 0.266 1
S4 0.279 0.734 0.734 1
S5 0.721 0.266 0.266 1
S6 0.734 0.279 0.734 1
S7 0.734 0.734 0.279 1
S8 0.748 0.748 0.748 1
```

Properties
V	23.41	Å³ per atom
raw total energy	-79.15	eV for the cell shown
calculated density	3.87	g cm⁻³
M_tot	0.00	μB/f.u.
formation energy (no corrections)	-1.4696	eV per atom

Record 4
A plane-wave DFT calculation with PBE was carried out for a geometry-optimized PrHo2Hg structure.

The structure in CIF format:
```
data_PrHo2Hg
_symmetry_space_group_name_H-M 'P 1'
_symmetry_Int_Tables_number 1
_cell_length_a 10.825
_cell_length_b 10.825
_cell_length_c 10.825
_cell_angle_alpha 19.36
_cell_angle_beta 19.36
_cell_angle_gamma 19.36
loop_
_symmetry_equiv_pos_as_xyz
'x,y,z'
loop_
_atom_site_label
_atom_site_fract_x
_atom_site_fract_y
_atom_site_fract_z
_atom_site_occupancy
Pr1 0.000 0.000 0.000 1
Ho1 0.241 0.241 0.241 1
Ho2 0.759 0.759 0.759 1
Hg1 0.500 0.500 0.500 1
```

Properties
formation energy from the elements	-174	meV per atom
V	30.46	Å³ per atom
raw total energy	-14.93	eV for the cell shown
energy relative to the lowest polymorph listed for this composition	0.0597	eV per atom
calculated density	9.15	g cm⁻³
M_tot	0.00	μB/f.u.